1.
The following is a DFT calculation (PBE-GGA) of a relaxed HfAlIr3 crystal.

Cell and atoms, written as POSCAR:
```
HfAlIr3
1.0
4.4392 0.0000 0.0000
0.0000 4.4392 0.0000
0.0000 0.0000 4.4392
Ir Hf Al
3 1 1
direct
0.0000 0.5000 0.0000
0.0000 0.0000 0.5000
0.5000 0.0000 0.0000
0.5000 0.5000 0.5000
0.0000 0.0000 0.0000
```

## Properties
E_form = 1.00 eV/f.u.
V = 17.50 Å³ per atom
ΔE to the lowest computed polymorph = 0.0000 eV per atom
Mass density = 14.8 g/cm3
Electronic total energy = -7.86 eV/atom
M_tot = 0.00 μB/f.u.

2.
The following is a DFT calculation (PBE-GGA) of a relaxed Ba2ZnH crystal.

Cell and atoms, written as POSCAR:
```
Ba2ZnH
1.0
0.0000 3.9734 3.9734
3.9734 0.0000 3.9734
3.9734 3.9734 0.0000
H Zn Ba
1 1 2
direct
0.0000 0.0000 0.0000
0.5000 0.5000 0.5000
0.2500 0.2500 0.2500
0.7500 0.7500 0.7500
```

## Properties
V = 31.36 Å³ per atom
ΔE to the lowest computed polymorph = 0.1924 eV per atom
Mass density = 4.5 g/cm3
Electronic total energy = -2.06 eV/atom
M_tot = 0.00 μB/f.u.

3.
The following is a DFT calculation (PBE-GGA) of a relaxed YScH crystal.

Cell and atoms, written as POSCAR:
```
YScH
1.0
-2.8220 2.1187 4.2201
2.3873 -4.1424 3.6760
5.4065 4.3750 1.4189
Y Sc H
4 4 4
direct
0.1056 0.9244 0.3654
0.6056 0.0756 0.6346
0.1056 0.4244 0.6346
0.6056 0.5756 0.3654
0.1224 0.4112 0.1121
0.6224 0.5888 0.8879
0.1224 0.9112 0.8879
0.6224 0.0888 0.1121
0.0010 0.0938 0.1092
0.5010 0.9062 0.8908
0.0010 0.5938 0.8908
0.5010 0.4062 0.1092
```

## Properties
V = 19.62 Å³ per atom
ΔE to the lowest computed polymorph = 0.0001 eV per atom
Mass density = 3.8 g/cm3
Electronic total energy = -5.70 eV/atom
M_tot = 0.00 μB/f.u.